# 1
A relaxed structure of Pm5CdGa2, computed with PBE-GGA.

Summary:
E_form   -0.369 eV/atom
Space group   I4/mcm, No. 140

```
Pm5CdGa2
1.0
-0.941 7.645 1.101
-2.330 0.777 -7.384
-5.593 -5.411 5.296
Ga Pm Cd
4 10 2
Cartesian
-2.270 7.218 -3.598
-2.412 3.600 -6.087
-1.000 1.204 -2.684
-0.859 4.823 -0.195
-3.633 6.244 -0.892
-5.230 -3.233 -0.095
-1.635 4.211 -3.141
-6.067 0.712 -0.706
-5.050 1.527 3.159
-2.796 2.299 -0.281
0.000 0.000 0.000
-4.213 -2.418 3.770
-3.813 1.485 -4.146
-4.650 5.430 -4.757
-5.249 3.611 -2.064
-3.614 -0.600 1.077
```

***

# 2
A relaxed structure of RbTmPb, computed with PBE-GGA.

Summary:
E_form   0.222 eV/atom
Space group   C2/m, No. 12

```
RbTmPb
1.0
3.588 0.000 0.000
-1.794 10.223 3.687
0.000 2.849 8.046
Pb Tm Rb
2 2 2
Cartesian
0.000 4.320 7.346
1.794 8.753 4.387
0.000 1.142 2.356
1.794 11.931 9.377
0.000 7.992 7.752
1.794 5.081 3.981
```

***

# 3
A relaxed structure of Pr2ErAu4, computed with PBE-GGA.

Summary:
E_form   -0.344 eV/atom
Space group   I4/mmm, No. 139

```
Pr2ErAu4
1.0
5.300 0.000 0.000
0.000 5.300 0.000
-2.650 -2.650 7.621
Au Pr Er
4 2 1
Cartesian
0.000 2.650 0.000
2.650 2.650 4.836
2.650 0.000 0.000
0.000 0.000 2.785
2.650 2.650 1.868
0.000 0.000 5.753
0.000 0.000 0.000
```

***

# 4
A relaxed structure of Rb2HoPaO6, computed with PBE-GGA.

Summary:
Raw formation energy   -2.549 eV per atom
Space group   Fm-3m, No. 225

```
Rb2HoPaO6
1.0
-4.897 2.256 3.168
-3.786 -1.600 -4.713
-4.973 -3.638 1.078
O Pa Rb Ho
6 1 2 1
Cartesian
-4.664 -1.703 0.175
-11.538 -3.141 -0.091
-9.599 -2.322 2.324
-8.992 -1.279 -0.643
-2.118 0.159 -0.377
-4.057 -0.660 -2.791
0.000 0.000 0.000
-7.106 -0.527 1.737
-6.550 -2.455 -2.204
-4.342 0.328 -0.773
```

***

# 5
A relaxed structure of CrTe2Ir, computed with PBE-GGA.

Summary:
Raw formation energy   0.436 eV per atom
Space group   Fm-3m, No. 225

```
CrTe2Ir
1.0
0.000 3.401 3.401
3.401 0.000 3.401
3.401 3.401 0.000
Te Cr Ir
2 1 1
Cartesian
1.701 1.701 1.701
5.102 5.102 5.102
0.000 0.000 0.000
3.401 3.401 3.401
```

***

# 6
A relaxed structure of Tb2Mg3TaN6, computed with PBE-GGA.

Summary:
Raw formation energy   -1.062 eV per atom
Space group   C2/m, No. 12

```
Tb2Mg3TaN6
1.0
-5.683 -0.120 -0.939
2.197 -2.283 4.812
0.657 5.360 1.115
Ta N Mg Tb
1 6 3 2
Cartesian
0.000 0.000 0.000
-2.537 -0.588 3.255
0.547 0.430 2.046
-1.843 1.086 0.300
-0.292 3.545 1.733
-0.986 1.871 4.687
-3.376 2.527 2.942
1.288 0.737 4.467
-1.415 1.479 2.494
-4.118 2.220 0.521
-3.063 -0.839 0.974
-0.424 -1.563 2.900
```

***

Number 1: magnetization 0.00 μB per cell, volume 28.9 Å³ per atom. Number 2: magnetization 0.00 μB per cell, volume 42.9 Å³ per atom. Number 3: magnetization 0.00 μB per cell, volume 30.6 Å³ per atom. Number 4: magnetization 2.05 μB per cell, volume 17.3 Å³ per atom. Number 5: magnetization 3.90 μB per cell, volume 19.7 Å³ per atom. Number 6: magnetization 0.00 μB per cell, volume 12.4 Å³ per atom.